# 1
# Sc2AlAg, relaxed, DFT GGA-PBEsol
# space-group type: I-42d
data_Sc2AlAg
_cell_length_a 4.071
_cell_length_b 4.071
_cell_length_c 10.450
_cell_angle_alpha 101.23
_cell_angle_beta 101.23
_cell_angle_gamma 90.00
_symmetry_space_group_name_H-M 'P 1'
_symmetry_Int_Tables_number 1
_symmetry_space_group_name_Hall 'P 1'
loop_
_atom_site_label
_atom_site_type_symbol
_atom_site_fract_x
_atom_site_fract_y
_atom_site_fract_z
Sc1 Sc 0.870 0.375 0.250
Sc2 Sc 0.380 0.875 0.250
Sc3 Sc 0.125 0.130 0.750
Sc4 Sc 0.625 0.620 0.750
Ag1 Ag 0.000 0.000 0.000
Ag2 Ag 0.250 0.750 0.500
Al1 Al 0.750 0.250 0.500
Al2 Al 0.500 0.500 0.000

# 2
# EuTlHg2, relaxed, DFT GGA-PBEsol
# space-group type: Fm-3m
data_EuTlHg2
_cell_length_a 5.198
_cell_length_b 5.198
_cell_length_c 5.198
_cell_angle_alpha 60.00
_cell_angle_beta 60.00
_cell_angle_gamma 60.00
_symmetry_space_group_name_H-M 'P 1'
_symmetry_Int_Tables_number 1
_symmetry_space_group_name_Hall 'P 1'
loop_
_atom_site_label
_atom_site_type_symbol
_atom_site_fract_x
_atom_site_fract_y
_atom_site_fract_z
Tl1 Tl 0.500 0.500 0.500
Hg1 Hg 0.250 0.250 0.250
Hg2 Hg 0.750 0.750 0.750
Eu1 Eu 0.000 0.000 0.000

# 3
# GaTcTeO2, relaxed, DFT GGA-PBEsol
# formation energy from raw total energies: -0.680 eV per atom
# space-group type: P4/mmm
data_GaTcTeO2
_cell_length_a 3.754
_cell_length_b 3.754
_cell_length_c 5.787
_cell_angle_alpha 90.00
_cell_angle_beta 90.00
_cell_angle_gamma 90.00
_symmetry_space_group_name_H-M 'P 1'
_symmetry_Int_Tables_number 1
_symmetry_space_group_name_Hall 'P 1'
loop_
_atom_site_label
_atom_site_type_symbol
_atom_site_fract_x
_atom_site_fract_y
_atom_site_fract_z
O1 O 0.500 0.000 0.000
O2 O 0.000 0.500 0.000
Te1 Te 0.500 0.500 0.500
Tc1 Tc 0.000 0.000 0.000
Ga1 Ga 0.000 0.000 0.500

# 4
# LuAl2, relaxed, DFT GGA-PBEsol
# space-group type: Fd-3m
data_LuAl2
_cell_length_a 5.437
_cell_length_b 5.437
_cell_length_c 5.437
_cell_angle_alpha 60.00
_cell_angle_beta 60.00
_cell_angle_gamma 60.00
_symmetry_space_group_name_H-M 'P 1'
_symmetry_Int_Tables_number 1
_symmetry_space_group_name_Hall 'P 1'
loop_
_atom_site_label
_atom_site_type_symbol
_atom_site_fract_x
_atom_site_fract_y
_atom_site_fract_z
Lu1 Lu 0.750 0.750 0.750
Lu2 Lu 0.500 0.500 0.500
Al1 Al 0.125 0.125 0.125
Al2 Al 0.625 0.125 0.125
Al3 Al 0.125 0.125 0.625
Al4 Al 0.125 0.625 0.125

Taking the records one at a time from the top gives total DFT energy (no corrections) values of -4.9229, -4.0329, -6.4059, -4.8449 eV/atom.
Taking the records one at a time from the top gives calculated volume values of 166, 99, 82, 114 Å³ per cell.